## NaVBr6 (PBE-GGA)

Data for a relaxed NaVBr6 crystal.

a b c (Å): 6.7158 7.0852 6.7833
angles (deg): 58.52 80.57 71.71
Positions (direct):
Br (0.7372, 0.4648, 0.6947)
Br (0.6826, 0.7466, 0.0000)
Br (0.3174, 0.2534, 0.0000)
Br (0.2628, 0.8405, 0.6947)
Br (0.2628, 0.5352, 0.3053)
Br (0.7372, 0.1595, 0.3053)
V (0.5000, 0.5000, 0.0000)
Na (0.0000, 0.0000, 0.0000)

Properties
- E: -26.790 eV per cell
- Energy relative to the elements, uncorrected: -0.789 eV per atom
- V: 261.4 Å³/f.u.



## KSbOs2 (PBE-GGA)

Data for a relaxed KSbOs2 crystal.

a b c (Å): 3.0138 3.0138 9.2424
angles (deg): 90.00 90.00 90.00
Positions (direct):
Os (0.5000, 0.5000, 0.2268)
Os (0.0000, 0.0000, 0.0620)
K (0.5000, 0.5000, 0.7723)
Sb (0.0000, 0.0000, 0.4389)

Properties
- Density of states at the Fermi level: 2.079 states/eV per cell
- E: -25.411 eV per cell
- Energy relative to the elements, uncorrected: 0.567 eV per atom
- V: 84.0 Å³/f.u.



## CsRb3Au (PBE-GGA)

Data for a relaxed CsRb3Au crystal.

a b c (Å): 7.0875 7.0875 7.0875
angles (deg): 90.00 90.00 90.00
Positions (direct):
Cs (0.5000, 0.5000, 0.5000)
Rb (0.5000, 0.0000, 0.0000)
Rb (0.0000, 0.0000, 0.5000)
Rb (0.0000, 0.5000, 0.0000)
Au (0.0000, 0.0000, 0.0000)

Properties
- Density of states at the Fermi level: 5.798 states/eV per cell
- E: -7.538 eV per cell
- Relative energy among the computed polymorphs: 0.0123 eV per atom
- V: 356.0 Å³/f.u.